A plane-wave DFT calculation with PBE-GGA was carried out for crystalline Ca2InRe at its relaxed geometry.

Its symmetry is Cmmm, No. 65. The mass density comes out at 6.9 Mg/m³. Its formation energy from the elements is 395 meV/atom. The calculation puts the volume at 23.0 A^3/atom. The value obtained for the density of states at the Fermi level is 4.058 states/eV per cell.

The structure in POSCAR format:
```
Ca2InRe
1.0
3.053 0.087 0.000
-0.192 3.048 0.000
0.000 0.000 9.878
In Re Ca
1 1 2
Cartesian
1.431 1.568 2.469
1.431 1.568 7.408
0.000 0.000 9.686
0.000 0.000 5.130
```

***

A plane-wave DFT calculation with PBE-GGA was carried out for crystalline CaInRe4 at its relaxed geometry.

Its symmetry is F-43m, No. 216. The mass density comes out at 13.8 Mg/m³. Its formation energy from the elements is 319 meV/atom. The calculation puts the volume at 18.1 A^3/atom. The value obtained for the density of states at the Fermi level is 3.007 states/eV per cell.

The structure in POSCAR format:
```
CaInRe4
1.0
0.000 3.785 3.785
3.785 0.000 3.785
3.785 3.785 0.000
Ca Re In
1 4 1
Cartesian
5.678 5.678 5.678
2.837 2.837 2.837
4.733 4.733 2.837
2.837 4.733 4.733
4.733 2.837 4.733
0.000 0.000 0.000
```

***

A plane-wave DFT calculation with PBE-GGA was carried out for crystalline Ca2InRe at its relaxed geometry.

Its symmetry is P2/m, No. 10. The mass density comes out at 6.8 Mg/m³. Its formation energy from the elements is 438 meV/atom. The calculation puts the volume at 23.2 A^3/atom. The value obtained for the density of states at the Fermi level is 3.464 states/eV per cell.

The structure in POSCAR format:
```
Ca2InRe
1.0
-0.437 4.562 0.492
-2.981 -0.250 -0.335
-3.712 -1.032 6.265
Ca Re In
2 1 1
Cartesian
-3.358 -0.653 3.071
-3.700 -1.019 6.159
-5.238 1.320 4.694
-1.892 1.961 1.729
```

***

A plane-wave DFT calculation with PBE-GGA was carried out for crystalline CaInRe2 at its relaxed geometry.

Its symmetry is P4/mmm, No. 123. The mass density comes out at 11.7 Mg/m³. Its formation energy from the elements is 841 meV/atom. The calculation puts the volume at 18.7 A^3/atom. The value obtained for the density of states at the Fermi level is 5.342 states/eV per cell.

The structure in POSCAR format:
```
CaInRe2
1.0
2.807 0.000 0.000
0.000 2.807 0.000
0.000 0.000 9.509
In Re Ca
1 2 1
Cartesian
1.404 1.404 7.132
0.000 0.000 4.888
0.000 0.000 9.375
1.404 1.404 2.377
```